[1]
First-principles (PBE-GGA) data for HfTa2MnAg after structural relaxation, as listed in Alexandria via LeMat-Bulk. Values from VASP.

Cell and atoms, written as Quantum ESPRESSO input:
```
&SYSTEM
  ibrav = 0, nat = 5, ntyp = 4
/
ATOMIC_SPECIES
Hf 178.49 Hf.upf
Ta 180.95 Ta.upf
Mn 54.94 Mn.upf
Ag 107.87 Ag.upf
CELL_PARAMETERS angstrom
4.5065 0.0000 0.0000
0.0000 4.5065 0.0000
0.0000 0.0000 4.8798
ATOMIC_POSITIONS crystal
Hf 0.0000 0.0000 0.0000
Ta 0.0000 0.5000 0.5000
Ta 0.5000 0.0000 0.5000
Mn 0.5000 0.5000 0.5000
Ag 0.5000 0.5000 0.0000
```

[2]
First-principles (PBE-GGA) data for HfTaMnAg2 after structural relaxation, as listed in Alexandria via LeMat-Bulk. Values from VASP.

Cell and atoms, written as Quantum ESPRESSO input:
```
&SYSTEM
  ibrav = 0, nat = 5, ntyp = 4
/
ATOMIC_SPECIES
Hf 178.49 Hf.upf
Ta 180.95 Ta.upf
Mn 54.94 Mn.upf
Ag 107.87 Ag.upf
CELL_PARAMETERS angstrom
4.9858 0.0000 0.0000
0.0000 4.9858 0.0000
0.0000 0.0000 4.2991
ATOMIC_POSITIONS crystal
Hf 0.0000 0.0000 0.0000
Ta 0.5000 0.5000 0.5000
Mn 0.0000 0.0000 0.5000
Ag 0.0000 0.5000 0.0000
Ag 0.5000 0.0000 0.0000
```

[3]
First-principles (PBE-GGA) data for Hf2MnTcAg after structural relaxation, as listed in Alexandria via LeMat-Bulk. Values from VASP.

Cell and atoms, written as Quantum ESPRESSO input:
```
&SYSTEM
  ibrav = 0, nat = 5, ntyp = 4
/
ATOMIC_SPECIES
Hf 178.49 Hf.upf
Mn 54.94 Mn.upf
Tc 98.00 Tc.upf
Ag 107.87 Ag.upf
CELL_PARAMETERS angstrom
4.8144 0.0000 0.0000
0.0000 4.8144 0.0000
0.0000 0.0000 5.0492
ATOMIC_POSITIONS crystal
Hf 0.0000 0.5000 0.0000
Hf 0.5000 0.0000 0.0000
Mn 0.0000 0.0000 0.5000
Tc 0.5000 0.5000 0.0000
Ag 0.5000 0.5000 0.5000
```

[4]
First-principles (PBE-GGA) data for HfTi2MnAg after structural relaxation, as listed in Alexandria via LeMat-Bulk. Values from VASP.

Cell and atoms, written as Quantum ESPRESSO input:
```
&SYSTEM
  ibrav = 0, nat = 5, ntyp = 4
/
ATOMIC_SPECIES
Hf 178.49 Hf.upf
Ti 47.87 Ti.upf
Mn 54.94 Mn.upf
Ag 107.87 Ag.upf
CELL_PARAMETERS angstrom
4.3386 0.0000 0.0000
0.0000 4.3386 0.0000
0.0000 0.0000 4.9719
ATOMIC_POSITIONS crystal
Hf 0.0000 0.0000 0.0000
Ti 0.0000 0.5000 0.5000
Ti 0.5000 0.0000 0.5000
Mn 0.5000 0.5000 0.5000
Ag 0.5000 0.5000 0.0000
```

[5]
First-principles (PBE-GGA) data for HfTiMn2Ag after structural relaxation, as listed in Alexandria via LeMat-Bulk. Values from VASP.

Cell and atoms, written as Quantum ESPRESSO input:
```
&SYSTEM
  ibrav = 0, nat = 5, ntyp = 4
/
ATOMIC_SPECIES
Hf 178.49 Hf.upf
Ti 47.87 Ti.upf
Mn 54.94 Mn.upf
Ag 107.87 Ag.upf
CELL_PARAMETERS angstrom
4.4620 0.0000 0.0000
0.0000 4.4620 0.0000
0.0000 0.0000 4.8485
ATOMIC_POSITIONS crystal
Hf 0.0000 0.0000 0.0000
Ti 0.0000 0.0000 0.5000
Mn 0.0000 0.5000 0.0000
Mn 0.5000 0.0000 0.0000
Ag 0.5000 0.5000 0.5000
```

[6]
First-principles (PBE-GGA) data for HfMnTl2Ag after structural relaxation, as listed in Alexandria via LeMat-Bulk. Values from VASP.

Cell and atoms, written as Quantum ESPRESSO input:
```
&SYSTEM
  ibrav = 0, nat = 5, ntyp = 4
/
ATOMIC_SPECIES
Hf 178.49 Hf.upf
Mn 54.94 Mn.upf
Tl 204.38 Tl.upf
Ag 107.87 Ag.upf
CELL_PARAMETERS angstrom
5.2223 0.0000 0.0000
0.0000 5.2223 0.0000
0.0000 0.0000 5.3414
ATOMIC_POSITIONS crystal
Hf 0.0000 0.0000 0.0000
Mn 0.5000 0.5000 0.0000
Tl 0.0000 0.5000 0.5000
Tl 0.5000 0.0000 0.5000
Ag 0.0000 0.0000 0.5000
```

[7]
First-principles (PBE-GGA) data for HfMnZn2Ag after structural relaxation, as listed in Alexandria via LeMat-Bulk. Values from VASP.

Cell and atoms, written as Quantum ESPRESSO input:
```
&SYSTEM
  ibrav = 0, nat = 5, ntyp = 4
/
ATOMIC_SPECIES
Hf 178.49 Hf.upf
Mn 54.94 Mn.upf
Zn 65.41 Zn.upf
Ag 107.87 Ag.upf
CELL_PARAMETERS angstrom
4.5556 0.0000 0.0000
0.0000 4.5556 0.0000
0.0000 0.0000 4.8220
ATOMIC_POSITIONS crystal
Hf 0.0000 0.0000 0.0000
Mn 0.5000 0.5000 0.0000
Zn 0.0000 0.5000 0.5000
Zn 0.5000 0.0000 0.5000
Ag 0.5000 0.5000 0.5000
```

[8]
First-principles (PBE-GGA) data for Hf2AgMo after structural relaxation, as listed in Alexandria via LeMat-Bulk. Values from VASP.

Calculated values
The energy above the most stable polymorph in this dataset is 0 meV/atom.

Cell and atoms, written as Quantum ESPRESSO input:
```
&SYSTEM
  ibrav = 0, nat = 4, ntyp = 3
/
ATOMIC_SPECIES
Hf 178.49 Hf.upf
Ag 107.87 Ag.upf
Mo 95.94 Mo.upf
CELL_PARAMETERS angstrom
3.3799 0.0000 0.0000
0.0000 3.3799 0.0000
0.0000 0.0000 6.7192
ATOMIC_POSITIONS crystal
Hf 0.0000 0.0000 0.2293
Hf 0.0000 0.0000 0.7707
Ag 0.5000 0.5000 0.5000
Mo 0.5000 0.5000 0.0000
```

[9]
First-principles (PBE-GGA) data for Hf2AgMo after structural relaxation, as listed in Alexandria via LeMat-Bulk. Values from VASP.

Calculated values
The energy above the most stable polymorph in this dataset is 77 meV/atom.

Cell and atoms, written as Quantum ESPRESSO input:
```
&SYSTEM
  ibrav = 0, nat = 4, ntyp = 3
/
ATOMIC_SPECIES
Hf 178.49 Hf.upf
Ag 107.87 Ag.upf
Mo 95.94 Mo.upf
CELL_PARAMETERS angstrom
0.0000 3.3547 3.3547
3.3547 0.0000 3.3547
3.3547 3.3547 0.0000
ATOMIC_POSITIONS crystal
Hf 0.2500 0.2500 0.2500
Hf 0.7500 0.7500 0.7500
Ag 0.0000 0.0000 0.0000
Mo 0.5000 0.5000 0.5000
```

[10]
First-principles (PBE-GGA) data for HfAg3Mo after structural relaxation, as listed in Alexandria via LeMat-Bulk. Values from VASP.

Calculated values
The energy above the most stable polymorph in this dataset is 0 meV/atom.

Cell and atoms, written as Quantum ESPRESSO input:
```
&SYSTEM
  ibrav = 0, nat = 5, ntyp = 3
/
ATOMIC_SPECIES
Hf 178.49 Hf.upf
Ag 107.87 Ag.upf
Mo 95.94 Mo.upf
CELL_PARAMETERS angstrom
4.9280 0.0000 0.0000
0.0000 4.9280 0.0000
0.0000 0.0000 4.9280
ATOMIC_POSITIONS crystal
Hf 0.0000 0.0000 0.0000
Ag 0.0000 0.5000 0.5000
Ag 0.5000 0.0000 0.5000
Ag 0.5000 0.5000 0.0000
Mo 0.5000 0.5000 0.5000
```

[11]
First-principles (PBE-GGA) data for Hf2AgMo after structural relaxation, as listed in Alexandria via LeMat-Bulk. Values from VASP.

Calculated values
The energy above the most stable polymorph in this dataset is 847 meV/atom.

Cell and atoms, written as Quantum ESPRESSO input:
```
&SYSTEM
  ibrav = 0, nat = 8, ntyp = 3
/
ATOMIC_SPECIES
Hf 178.49 Hf.upf
Ag 107.87 Ag.upf
Mo 95.94 Mo.upf
CELL_PARAMETERS angstrom
-2.0815 2.0815 9.5538
2.0815 -2.0815 9.5538
2.0815 2.0815 -9.5538
ATOMIC_POSITIONS crystal
Hf 0.1149 0.6250 0.9899
Hf 0.3750 0.3649 0.4899
Hf 0.6351 0.1250 0.0101
Hf 0.8750 0.8851 0.5101
Ag 0.2500 0.7500 0.5000
Ag 0.5000 0.5000 0.0000
Mo 0.0000 0.0000 0.0000
Mo 0.7500 0.2500 0.5000
```

[12]
First-principles (PBE-GGA) data for Hf12Ag3Mo5 after structural relaxation, as listed in Alexandria via LeMat-Bulk. Values from VASP.

Cell and atoms, written as Quantum ESPRESSO input:
```
&SYSTEM
  ibrav = 0, nat = 80, ntyp = 3
/
ATOMIC_SPECIES
Hf 178.49 Hf.upf
Ag 107.87 Ag.upf
Mo 95.94 Mo.upf
CELL_PARAMETERS angstrom
-7.8701 7.8701 7.8701
7.8701 -7.8701 7.8701
7.8701 7.8701 -7.8701
ATOMIC_POSITIONS crystal
Hf 0.0435 0.2144 0.1213
Hf 0.0435 0.3291 0.9221
Hf 0.0779 0.6213 0.4069
Hf 0.0779 0.9565 0.6709
Hf 0.0931 0.7144 0.6709
Hf 0.0931 0.8787 0.4221
Hf 0.1213 0.0435 0.2144
Hf 0.1213 0.5779 0.9069
Hf 0.1709 0.2144 0.5931
Hf 0.1709 0.4565 0.5779
Hf 0.2144 0.1213 0.0435
Hf 0.2144 0.5931 0.1709
Hf 0.2856 0.3291 0.9069
Hf 0.2856 0.4565 0.3787
Hf 0.3291 0.9069 0.2856
Hf 0.3291 0.9221 0.0435
Hf 0.3787 0.2856 0.4565
Hf 0.3787 0.5931 0.9221
Hf 0.4069 0.0779 0.6213
Hf 0.4069 0.8291 0.7856
Hf 0.4221 0.0931 0.8787
Hf 0.4221 0.8291 0.5435
Hf 0.4565 0.3787 0.2856
Hf 0.4565 0.5779 0.1709
Hf 0.5435 0.4221 0.8291
Hf 0.5435 0.6213 0.7144
Hf 0.5779 0.1709 0.4565
Hf 0.5779 0.9069 0.1213
Hf 0.5931 0.1709 0.2144
Hf 0.5931 0.9221 0.3787
Hf 0.6213 0.4069 0.0779
Hf 0.6213 0.7144 0.5435
Hf 0.6709 0.0779 0.9565
Hf 0.6709 0.0931 0.7144
Hf 0.7144 0.5435 0.6213
Hf 0.7144 0.6709 0.0931
Hf 0.7856 0.4069 0.8291
Hf 0.7856 0.8787 0.9565
Hf 0.8291 0.5435 0.4221
Hf 0.8291 0.7856 0.4069
Hf 0.8787 0.4221 0.0931
Hf 0.8787 0.9565 0.7856
Hf 0.9069 0.1213 0.5779
Hf 0.9069 0.2856 0.3291
Hf 0.9221 0.0435 0.3291
Hf 0.9221 0.3787 0.5931
Hf 0.9565 0.6709 0.0779
Hf 0.9565 0.7856 0.8787
Ag 0.1250 0.2500 0.3750
Ag 0.1250 0.3750 0.7500
Ag 0.2500 0.3750 0.1250
Ag 0.2500 0.8750 0.6250
Ag 0.3750 0.1250 0.2500
Ag 0.3750 0.7500 0.1250
Ag 0.6250 0.2500 0.8750
Ag 0.6250 0.8750 0.7500
Ag 0.7500 0.1250 0.3750
Ag 0.7500 0.6250 0.8750
Ag 0.8750 0.6250 0.2500
Ag 0.8750 0.7500 0.6250
Mo 0.0000 0.0000 0.0000
Mo 0.0000 0.0000 0.5000
Mo 0.0000 0.5000 0.0000
Mo 0.0000 0.5000 0.5000
Mo 0.1250 0.7500 0.8750
Mo 0.1250 0.8750 0.2500
Mo 0.2500 0.1250 0.8750
Mo 0.2500 0.6250 0.3750
Mo 0.3750 0.2500 0.6250
Mo 0.3750 0.6250 0.7500
Mo 0.5000 0.0000 0.0000
Mo 0.5000 0.0000 0.5000
Mo 0.5000 0.5000 0.0000
Mo 0.5000 0.5000 0.5000
Mo 0.6250 0.3750 0.2500
Mo 0.6250 0.7500 0.3750
Mo 0.7500 0.3750 0.6250
Mo 0.7500 0.8750 0.1250
Mo 0.8750 0.1250 0.7500
Mo 0.8750 0.2500 0.1250
```

| no. | E_form (eV/atom) | DOS at the Fermi energy (states/eV per atom) |
| --- | --- | --- |
| 1 | 0.815 | 0.919 |
| 2 | 1.792 | 1.103 |
| 3 | 1.333 | 1.441 |
| 4 | 0.471 | 1.050 |
| 5 | 1.631 | 1.402 |
| 6 | 1.105 | 0.894 |
| 7 | 1.117 | 1.023 |
| 8 | -0.119 | 0.902 |
| 9 | -0.042 | 0.952 |
| 10 | 1.632 | 1.139 |
| 11 | 0.728 | 1.406 |
| 12 | 1.062 | 0.970 |